The following is a PBE-GGA calculation of a relaxed structure of Mo2OsBr, from the Alexandria database.

## Properties
Volume, Å³ per cell: 65
Total magnetic moment, μB per cell: 0.00
Raw total energy, eV for the cell shown: -29.93
Density of states at the Fermi level, states/eV per cell: 5.00
Polymorph energy (0 for the lowest one), eV/atom: 0.685

Cell lengths 5.164, 5.164, 5.164 Å; angles 136.36, 136.36, 63.43 degrees
Positions (direct):
Mo: 0.000 0.000 0.000
Mo: 0.250 0.750 0.500
Os: 0.500 0.500 0.000
Br: 0.750 0.250 0.500